DFT (PBE) results for an optimized crystal structure of LiB2C2.

Output
N(E_F): 0.34 states/eV per atom
calculated total energy: -6.765 eV/atom
formation energy from the elements: -0.021 eV/atom
calculated volume: 46 Å³/f.u.
ΔE to the lowest computed polymorph: 48 meV per atom

Cell: 5.3964 5.3964 7.2819 Å, 91.15 91.15 60.57°
Fractional coordinates of all 20 atoms:
Li 0.0000 0.0000 0.0000
Li 0.0000 0.0000 0.5000
Li 0.0000 0.5000 0.0000
Li 0.5000 0.0000 0.0000
B 0.1722 0.1722 0.2580
B 0.1732 0.6691 0.2394
B 0.3298 0.3298 0.7459
B 0.3309 0.8268 0.7606
B 0.6691 0.1732 0.2394
B 0.6702 0.6702 0.2541
B 0.8268 0.3309 0.7606
B 0.8278 0.8278 0.7420
C 0.1587 0.6611 0.7470
C 0.1599 0.1599 0.7683
C 0.3389 0.8413 0.2530
C 0.3398 0.3398 0.2382
C 0.6602 0.6602 0.7618
C 0.6611 0.1587 0.7470
C 0.8401 0.8401 0.2317
C 0.8413 0.3389 0.2530

DFT (PBE) results for an optimized crystal structure of Pm2InGa4Pt3.

Output
N(E_F): 0.48 states/eV per atom
calculated total energy: -5.092 eV/atom
formation energy from the elements: -0.845 eV/atom
calculated volume: 200 Å³/f.u.

Cell: 4.3010 4.3010 10.8270 Å, 90.00 90.00 90.00°
Fractional coordinates of all 10 atoms:
Pm 0.0000 0.5000 0.2371
Pm 0.5000 0.0000 0.7629
In 0.0000 0.0000 0.5000
Ga 0.0000 0.0000 0.0000
Ga 0.0000 0.5000 0.6482
Ga 0.5000 0.0000 0.3518
Ga 0.5000 0.5000 0.0000
Pt 0.0000 0.5000 0.8740
Pt 0.5000 0.0000 0.1260
Pt 0.5000 0.5000 0.5000

DFT (PBE) results for an optimized crystal structure of Hf2Be2Ga3.

Output
N(E_F): 0.25 states/eV per atom
calculated total energy: -5.500 eV/atom
formation energy from the elements: -0.294 eV/atom
calculated volume: 106 Å³/f.u.

Cell: 8.7852 8.7852 6.3186 Å, 90.00 90.00 154.16°
Fractional coordinates of all 14 atoms:
Hf 0.0509 0.9491 0.7500
Hf 0.1583 0.8417 0.2500
Hf 0.8417 0.1583 0.7500
Hf 0.9491 0.0509 0.2500
Be 0.3123 0.6877 0.0710
Be 0.3123 0.6877 0.4290
Be 0.6877 0.3123 0.5710
Be 0.6877 0.3123 0.9290
Ga 0.2210 0.7790 0.7500
Ga 0.4336 0.5664 0.5578
Ga 0.4336 0.5664 0.9422
Ga 0.5664 0.4336 0.0578
Ga 0.5664 0.4336 0.4422
Ga 0.7790 0.2210 0.2500

DFT (PBE) results for an optimized crystal structure of HgTeCl2.

Output
N(E_F): 0.42 states/eV per atom
calculated total energy: -1.777 eV/atom
energy relative to the elements, uncorrected: 7 meV per atom
calculated volume: 108 Å³/f.u.
ΔE to the lowest computed polymorph: 337 meV per atom

Cell: 3.5493 3.5493 8.5670 Å, 90.00 90.00 90.00°
Fractional coordinates of all 4 atoms:
Hg 0.0000 0.0000 0.0000
Te 0.5000 0.5000 0.2497
Cl 0.0000 0.0000 0.4460
Cl 0.5000 0.5000 0.8307

DFT (PBE) results for an optimized crystal structure of Sr4B14O25.

Output
N(E_F): 0.00 states/eV per atom
calculated total energy: -7.853 eV/atom
energy relative to the elements, uncorrected: -2640 meV per atom
calculated volume: 479 Å³/f.u.

Cell: 9.1219 9.1219 14.8033 Å, 90.00 90.00 128.90°
Fractional coordinates of all 86 atoms:
Sr 0.0550 0.9450 0.5000
Sr 0.1766 0.8234 0.8221
Sr 0.1963 0.8037 0.2356
Sr 0.4310 0.5690 0.4148
Sr 0.5690 0.4310 0.9148
Sr 0.8037 0.1963 0.7356
Sr 0.8234 0.1766 0.3221
Sr 0.9450 0.0550 0.0000
B 0.0144 0.4483 0.1031
B 0.0196 0.3282 0.5251
B 0.0672 0.5976 0.4383
B 0.1651 0.1763 0.7910
B 0.1763 0.1651 0.2910
B 0.2167 0.4545 0.8663
B 0.2179 0.2778 0.6309
B 0.2291 0.4359 0.2012
B 0.2778 0.2179 0.1309
B 0.3282 0.0196 0.0251
B 0.4024 0.9328 0.4383
B 0.4359 0.2291 0.7012
B 0.4483 0.0144 0.6031
B 0.4545 0.2167 0.3663
B 0.5455 0.7833 0.8663
B 0.5517 0.9856 0.1031
B 0.5641 0.7709 0.2012
B 0.5976 0.0672 0.9383
B 0.6718 0.9804 0.5251
B 0.7222 0.7821 0.6309
B 0.7709 0.5641 0.7012
B 0.7821 0.7222 0.1309
B 0.7833 0.5455 0.3663
B 0.8237 0.8349 0.7910
B 0.8349 0.8237 0.2910
B 0.9328 0.4024 0.9383
B 0.9804 0.6718 0.0251
B 0.9856 0.5517 0.6031
O 0.0070 0.6371 0.5222
O 0.0119 0.5975 0.1056
O 0.0253 0.9747 0.8040
O 0.0364 0.3874 0.1843
O 0.1004 0.5004 0.8714
O 0.1088 0.4704 0.4525
O 0.1260 0.2487 0.7113
O 0.1519 0.2710 0.8728
O 0.1520 0.8480 0.9909
O 0.1616 0.3008 0.5486
O 0.2232 0.3499 0.2869
O 0.2241 0.7759 0.3972
O 0.2487 0.1260 0.2113
O 0.2628 0.3572 0.1240
O 0.2710 0.1519 0.3728
O 0.3008 0.1616 0.0486
O 0.3499 0.2232 0.7869
O 0.3572 0.2628 0.6240
O 0.3597 0.6403 0.2068
O 0.3629 0.9930 0.5222
O 0.3874 0.0364 0.6843
O 0.4025 0.9881 0.1056
O 0.4109 0.5891 0.8554
O 0.4704 0.1088 0.9525
O 0.5004 0.1004 0.3714
O 0.4996 0.8996 0.8714
O 0.5296 0.8912 0.4525
O 0.5891 0.4109 0.3554
O 0.5975 0.0119 0.6056
O 0.6126 0.9636 0.1843
O 0.6371 0.0070 0.0222
O 0.6403 0.3597 0.7068
O 0.6428 0.7372 0.1240
O 0.6501 0.7768 0.2869
O 0.6992 0.8384 0.5486
O 0.7290 0.8481 0.8728
O 0.7372 0.6428 0.6240
O 0.7513 0.8740 0.7113
O 0.7759 0.2241 0.8972
O 0.7768 0.6501 0.7869
O 0.8384 0.6992 0.0486
O 0.8480 0.1520 0.4909
O 0.8481 0.7290 0.3728
O 0.8740 0.7513 0.2113
O 0.8912 0.5296 0.9525
O 0.8996 0.4996 0.3714
O 0.9636 0.6126 0.6843
O 0.9747 0.0253 0.3040
O 0.9881 0.4025 0.6056
O 0.9930 0.3629 0.0222

DFT (PBE) results for an optimized crystal structure of ZnSbSe2N.

Output
N(E_F): 0.85 states/eV per atom
calculated total energy: -3.337 eV/atom
energy relative to the elements, uncorrected: 801 meV per atom
calculated volume: 114 Å³/f.u.
ΔE to the lowest computed polymorph: 132 meV per atom

Cell: 5.3812 5.3812 3.9303 Å, 90.00 90.00 90.00°
Fractional coordinates of all 5 atoms:
Zn 0.0000 0.0000 0.0000
Sb 0.5000 0.5000 0.5000
Se 0.0000 0.5000 0.5000
Se 0.5000 0.0000 0.5000
N 0.5000 0.5000 0.0000

DFT (PBE) results for an optimized crystal structure of AcIn2.

Output
N(E_F): 0.60 states/eV per atom
calculated total energy: -3.664 eV/atom
formation energy from the elements: -0.469 eV/atom
calculated volume: 93 Å³/f.u.
ΔE to the lowest computed polymorph: 0 meV per atom

Cell: 6.6597 6.6597 6.6597 Å, 136.63 106.58 89.30°
Fractional coordinates of all 6 atoms:
Ac 0.3098 0.0598 0.2500
Ac 0.6902 0.9402 0.7500
In 0.1053 0.6610 0.4443
In 0.2833 0.3390 0.9443
In 0.7167 0.6610 0.0557
In 0.8947 0.3390 0.5557

DFT (PBE) results for an optimized crystal structure of SmErNi2P2.

Output
N(E_F): 0.46 states/eV per atom
calculated total energy: -6.482 eV/atom
formation energy from the elements: -1.205 eV/atom
calculated volume: 103 Å³/f.u.

Cell: 3.9003 3.9003 7.8369 Å, 90.00 90.00 120.00°
Fractional coordinates of all 6 atoms:
Sm 0.0000 0.0000 0.0000
Er 0.0000 0.0000 0.5000
Ni 0.3333 0.6667 0.7430
Ni 0.6667 0.3333 0.2570
P 0.3333 0.6667 0.2582
P 0.6667 0.3333 0.7418

DFT (PBE) results for an optimized crystal structure of Y2NpAgO8.

Output
calculated total energy: -8.108 eV/atom
energy relative to the elements, uncorrected: -2409 meV per atom
calculated volume: 179 Å³/f.u.

Cell: 5.0341 5.0379 7.1242 Å, 84.87 84.99 85.68°
Fractional coordinates of all 12 atoms:
Y 0.0350 0.0345 0.2363
Y 0.9650 0.9655 0.7637
Np 0.5000 0.5000 0.5000
Ag 0.5000 0.5000 0.0000
O 0.2013 0.7969 0.0004
O 0.2046 0.7912 0.5005
O 0.2887 0.2840 0.6750
O 0.3412 0.3393 0.2546
O 0.6588 0.6607 0.7454
O 0.7113 0.7160 0.3250
O 0.7954 0.2088 0.4995
O 0.7987 0.2031 0.9996

DFT (PBE) results for an optimized crystal structure of Os3PdN.

Output
N(E_F): 1.79 states/eV per atom
calculated total energy: -5.465 eV/atom
energy relative to the elements, uncorrected: 3976 meV per atom
calculated volume: 109 Å³/f.u.
ΔE to the lowest computed polymorph: 3280 meV per atom

Cell: 4.7732 4.7732 4.7732 Å, 90.00 90.00 90.00°
Fractional coordinates of all 5 atoms:
Os 0.0000 0.0000 0.5000
Os 0.0000 0.5000 0.0000
Os 0.5000 0.0000 0.0000
Pd 0.0000 0.0000 0.0000
N 0.5000 0.5000 0.5000

DFT (PBE) results for an optimized crystal structure of SnAs2PBr.

Output
N(E_F): 0.40 states/eV per atom
calculated total energy: -3.034 eV/atom
energy relative to the elements, uncorrected: 1043 meV per atom
calculated volume: 157 Å³/f.u.
ΔE to the lowest computed polymorph: 590 meV per atom

Cell: 5.4069 5.4069 5.3671 Å, 90.00 90.00 90.00°
Fractional coordinates of all 5 atoms:
Sn 0.0000 0.0000 0.0000
As 0.0000 0.5000 0.0000
As 0.5000 0.0000 0.0000
P 0.5000 0.5000 0.5000
Br 0.0000 0.0000 0.5000

DFT (PBE) results for an optimized crystal structure of Al2TlAg.

Output
N(E_F): 0.11 states/eV per atom
calculated total energy: -3.048 eV/atom
formation energy from the elements: 0.127 eV/atom
calculated volume: 81 Å³/f.u.

Cell: 9.6680 9.6680 9.6680 Å, 18.73 18.73 18.73°
Fractional coordinates of all 4 atoms:
Al 0.0000 0.0000 0.0000
Al 0.2563 0.2563 0.2563
Tl 0.7569 0.7569 0.7569
Ag 0.5173 0.5173 0.5173